No. 1
An optimized crystal structure of BiPbF2, computed with PBE.

## Properties
Symmetry ... Fm-3m

a b c (Å): 4.7805 4.7805 4.7805
angles (deg): 60.00 60.00 60.00
Element x y z (fractional)
Pb: 0.0000 0.0000 0.0000
Bi: 0.5000 0.5000 0.5000
F: 0.2500 0.2500 0.2500
F: 0.7500 0.7500 0.7500

=====

No. 2
An optimized crystal structure of BiPb3F8, computed with PBE.

## Properties
Symmetry ... Pm-3m

a b c (Å): 5.9929 5.9929 5.9929
angles (deg): 90.00 90.00 90.00
Last column: magnetic moment on the atom in μB.
Element x y z (fractional)
Bi: 0.0000 0.0000 0.0000  0.07
Pb: 0.5000 0.5000 0.0000  0.07
Pb: 0.5000 0.0000 0.5000  0.07
Pb: 0.0000 0.5000 0.5000  0.07
F: 0.2330 0.2330 0.7670  0.01
F: 0.2330 0.7670 0.2330  0.01
F: 0.7670 0.2330 0.2330  0.01
F: 0.7670 0.7670 0.7670  0.01
F: 0.7670 0.7670 0.2330  0.01
F: 0.7670 0.2330 0.7670  0.01
F: 0.2330 0.7670 0.7670  0.01
F: 0.2330 0.2330 0.2330  0.01

=====

No. 3
An optimized crystal structure of BiPbF, computed with PBE.

## Properties
Symmetry ... Amm2

a b c (Å): 3.5221 3.5946 15.5053
angles (deg): 90.00 90.00 119.34
Element x y z (fractional)
Pb: 0.5543 0.1086 0.0000
Pb: 0.3295 0.6590 0.5000
F: 0.6603 0.3206 0.4118
F: 0.6603 0.3206 0.5882
Bi: 0.2311 0.4622 0.8147
Bi: 0.2311 0.4622 0.1853

=====

No. 4
An optimized crystal structure of BiPb2F, computed with PBE.

## Properties
Symmetry ... P4/mmm

a b c (Å): 3.6585 3.6585 7.7826
angles (deg): 90.00 90.00 90.00
Element x y z (fractional)
Pb: 0.0000 0.0000 0.7869
Pb: 0.0000 0.0000 0.2131
Bi: 0.5000 0.5000 0.5000
F: 0.5000 0.5000 0.0000

=====

No. 5
An optimized crystal structure of Bi2PbF4, computed with PBE.

## Properties
Symmetry ... I4/mmm

a b c (Å): 4.6173 4.6173 9.4091
angles (deg): 75.80 75.80 90.00
Element x y z (fractional)
Pb: 0.0000 0.0000 0.0000
Bi: 0.7341 0.7341 0.5317
Bi: 0.2659 0.2659 0.4683
F: 0.8561 0.8561 0.2878
F: 0.1439 0.1439 0.7122
F: 0.0000 0.5000 0.0000
F: 0.5000 0.0000 0.0000

=====

No. 6
An optimized crystal structure of Bi2Pb2F, computed with PBE.

## Properties
Symmetry ... P4/mbm

a b c (Å): 6.8578 6.8578 6.1285
angles (deg): 90.00 90.00 90.00
Element x y z (fractional)
Pb: 0.3290 0.8290 0.0000
Pb: 0.8290 0.6710 0.0000
Pb: 0.6710 0.1710 0.0000
Pb: 0.1710 0.3290 0.0000
Bi: 0.2017 0.7017 0.5000
Bi: 0.7017 0.7983 0.5000
Bi: 0.7983 0.2983 0.5000
Bi: 0.2983 0.2017 0.5000
F: 0.0000 0.0000 0.0000
F: 0.5000 0.5000 0.0000

=====

Looking at energy relative to the elements, uncorrected for the records above, in order, we have -1072 -2207 -949 -640 -1638 -558 meV/atom.
Looking at spin magnetization for the records above, in order, we have 0.00 0.75 0.00 0.00 0.00 0.00 μB/f.u..